This record from the Alexandria database describes a geometry-optimized Nd5Bi3 structure. The functional is PBE-GGA.

a = 9.5222 Å, b = 9.5222 Å, c = 6.5989 Å
α = 90.00°, β = 90.00°, γ = 120.00°
Space group P6_3/mcm (No. 193)
One atom of each set of equivalent atoms:
Nd 0.0000 0.2470 0.2500 x6
Nd 0.3333 0.6667 0.0000 x4
Bi 0.0000 0.3874 0.7500 x6

***

This record from the Alexandria database describes a geometry-optimized LiTe structure. The functional is PBE-GGA.

a = 6.2339 Å, b = 6.2339 Å, c = 6.2339 Å
α = 90.00°, β = 90.00°, γ = 90.00°
Space group F-43m (No. 216)
One atom of each set of equivalent atoms:
Li 0.0000 0.0000 0.0000 x4
Te 0.2500 0.2500 0.7500 x4

***

This record from the Alexandria database describes a geometry-optimized Nd2DyPuO8 structure. The functional is PBE-GGA.

a = 4.0066 Å, b = 5.5578 Å, c = 7.5560 Å
α = 88.51°, β = 89.60°, γ = 83.88°
Space group P-1 (No. 2)
One atom of each set of equivalent atoms:
Nd 0.9999 0.0114 0.2409 x2
Dy 0.5000 0.5000 0.0000 x1
Pu 0.5000 0.5000 0.5000 x1
O 0.0123 0.7456 0.0102 x2
O 0.0739 0.7144 0.5030 x2
O 0.4483 0.2821 0.7147 x2
O 0.4591 0.2598 0.2699 x2

***

This record from the Alexandria database describes a geometry-optimized EuEr2Os structure. The functional is PBE-GGA.

a = 3.4103 Å, b = 3.4103 Å, c = 9.5309 Å
α = 90.00°, β = 90.00°, γ = 90.00°
Space group P4/mmm (No. 123)
One atom of each set of equivalent atoms:
Eu 0.0000 0.0000 0.0000 x1
Er 0.5000 0.5000 0.3294 x2
Os 0.0000 0.0000 0.5000 x1

***

This record from the Alexandria database describes a geometry-optimized Mn6P7 structure. The functional is PBE-GGA.

a = 5.0747 Å, b = 5.0747 Å, c = 23.7251 Å
α = 90.00°, β = 90.00°, γ = 120.00°
Space group R-3m (No. 166, hexagonal axes)
One atom of each set of equivalent atoms:
Mn 0.0000 0.0000 0.0616 x6
Mn 0.0000 0.0000 0.1792 x6
Mn 0.0000 0.0000 0.3402 x6
P 0.0000 0.0000 0.5000 x3
P 0.0165 0.5082 0.9240 x18

***

This record from the Alexandria database describes a geometry-optimized Sm12Al5Ga2 structure. The functional is PBE-GGA.

a = 15.1649 Å, b = 8.6138 Å, c = 8.2313 Å
α = 90.00°, β = 94.70°, γ = 90.00°
Space group C2/m (No. 12)
One atom of each set of equivalent atoms:
Sm 0.0422 0.0000 0.2060 x4
Sm 0.0472 0.5000 0.6641 x4
Sm 0.1437 0.2304 0.9002 x8
Sm 0.1669 0.3149 0.3517 x8
Al 0.0000 0.5000 0.0000 x2
Al 0.1431 0.0000 0.5675 x4
Al 0.2477 0.0000 0.2698 x4
Ga 0.0000 0.1894 0.5000 x4

***

Spin magnetization values, unit Bohr magnetons per cell, following the record order: 1.12, 0.00, 0.99, 7.51, 40.96, 0.00.
Total DFT energy (no corrections) values, unit eV per atom, following the record order: -5.2124, -2.8107, -8.6766, -7.8241, -6.8546, -4.4281.